Material: Co2RhCl
Method: DFT, PBE-GGA
State: relaxed

Geometry as POSCAR:
```
Co2RhCl
1.0
7.9872 -0.0009 -0.0005
7.4818 2.7962 -0.0005
7.4818 1.3520 2.4476
Co Cl Rh
2 1 1
Direct
0.4976 0.4976 0.4976
0.0024 0.0024 0.0024
0.7500 0.7500 0.7500
0.2500 0.2500 0.2500
```

Computed properties:
As for the total moment: 1.241 μB per atom. For the offset from the most stable computed form, the calculation gives 31 kJ/mol of formula units. Its energy relative to the elements, uncorrected is 303 meV/atom. Its space-group type is R-3m (166).

Material: ZnIn2TcS
Method: DFT, PBE-GGA
State: relaxed

Geometry as POSCAR:
```
ZnIn2TcS
1.0
5.3712 0.0000 0.0000
0.0000 4.4420 0.0000
0.0000 0.0000 5.3712
Zn S In Tc
1 1 2 1
Direct
0.5000 0.5000 0.5000
0.0000 0.5000 0.0000
0.0000 0.0000 0.5000
0.5000 0.0000 0.0000
0.0000 0.0000 0.0000
```

Computed properties:
As for the total moment: 0.000 μB per atom. Its energy relative to the elements, uncorrected is 158 meV/atom. Its space-group type is P4/mmm (123).

Material: Fe3Co4Ir
Method: DFT, PBE-GGA
State: relaxed

Geometry as POSCAR:
```
Fe3Co4Ir
1.0
3.9812 0.0000 0.0000
0.0000 6.0272 0.0000
0.0000 0.0000 7.9628
Co Fe Ir
8 6 2
Direct
0.5000 0.2330 0.0000
0.0003 0.7669 0.2500
0.9997 0.2331 0.7500
0.5000 0.7670 0.5000
0.9997 0.7669 0.7500
0.0003 0.2331 0.2500
0.5000 0.7670 0.0000
0.5000 0.2330 0.5000
0.0000 0.0000 0.0000
0.5002 0.0000 0.2500
0.0000 0.0000 0.5000
0.5002 0.5000 0.2500
0.4998 0.0000 0.7500
0.4998 0.5000 0.7500
0.0000 0.5000 0.5000
0.0000 0.5000 0.0000
```

Computed properties:
As for the total moment: 2.030 μB per atom. As for the formation energy: 0.01 eV per formula unit. Its space-group type is P4/mmm (123).

Material: K3W
Method: DFT, PBE-GGA
State: relaxed

Geometry as POSCAR:
```
K3W
1.0
-0.2446 -6.5989 2.8249
-0.6690 -2.7933 -6.5829
7.1469 -0.4873 -0.5195
K W
6 2
Direct
0.0000 0.7500 0.5000
0.0000 0.2500 0.5000
0.2500 0.5000 0.0000
0.5000 0.0000 0.2500
0.7500 0.5000 0.0000
0.5000 0.0000 0.7500
0.5000 0.5000 0.5000
0.0000 0.0000 0.0000
```

Computed properties:
As for the total moment: 1.280 μB per atom. For the offset from the most stable computed form, the calculation gives 236 kJ/mol of formula units. As for the formation energy: 6.01 eV per formula unit. Its space-group type is Pm-3n (223).

Material: CoMoIr2
Method: DFT, PBE-GGA
State: relaxed

Geometry as POSCAR:
```
CoMoIr2
1.0
8.8357 -0.0161 -0.0094
8.4160 2.6909 -0.0094
8.4160 1.3049 2.3533
Ir Mo Co
2 1 1
Direct
0.4975 0.4975 0.4975
0.0025 0.0025 0.0025
0.2500 0.2500 0.2500
0.7500 0.7500 0.7500
```

Computed properties:
As for the total moment: 0.389 μB per atom. For the offset from the most stable computed form, the calculation gives 60 kJ/mol of formula units. As for the formation energy: -0.12 eV per formula unit. Its space-group type is R-3m (166).

Material: TbDySc
Method: DFT, PBE-GGA
State: relaxed

Geometry as POSCAR:
```
TbDySc
1.0
5.5109 0.0236 0.0109
-0.0103 3.1508 -1.5817
-0.0095 -3.7803 12.1025
Tb Dy Sc
2 2 2
Direct
0.1604 0.5766 0.8002
0.6603 0.7794 0.6812
0.1600 0.2065 0.4523
0.6606 0.1494 0.0291
0.1607 0.9120 0.1344
0.6600 0.4439 0.3470
```

Computed properties:
As for the total moment: 0.016 μB per atom. For the offset from the most stable computed form, the calculation gives 0 kJ/mol of formula units. As for the formation energy: 0.09 eV per formula unit. Its space-group type is Cmcm (63).

Material: Sm2ThAg
Method: DFT, PBE-GGA
State: relaxed

Geometry as POSCAR:
```
Sm2ThAg
1.0
-1.8718 0.9869 -2.8879
-3.4935 -0.7535 -0.2124
-4.1071 9.4975 3.6884
Sm Th Ag
2 1 1
Direct
0.0749 0.0749 0.7754
0.2586 0.2586 0.2241
0.4998 0.4998 0.5005
0.6667 0.6667 0.0000
```

Computed properties:
As for the total moment: 0.000 μB per atom. For the offset from the most stable computed form, the calculation gives 61 kJ/mol of formula units. As for the formation energy: 0.13 eV per formula unit. Its space-group type is R3m (160).

Material: AgHgIr2
Method: DFT, PBE-GGA
State: relaxed

Geometry as POSCAR:
```
AgHgIr2
1.0
-2.3657 7.2016 0.1802
-0.8054 -0.4528 7.5258
0.8670 4.1722 4.1635
Ir Hg Ag
4 2 2
Direct
0.1247 0.6250 0.2500
0.6253 0.1250 0.2500
0.8750 0.8753 0.7500
0.3750 0.3747 0.7500
0.0000 0.0000 0.0000
0.7500 0.2500 0.5000
0.2500 0.7500 0.5000
0.5000 0.5000 0.0000
```

Computed properties:
As for the total moment: 0.000 μB per atom. As for the formation energy: 3.87 eV per formula unit. Its space-group type is I-42d (122).